Entry from the Alexandria database: a geometry-optimized Ta3Nb2Fe structure (GGA-PBE).

Cell: 7.222 7.222 3.245 Å, 90.00 90.00 142.97°
Fractional coordinates of all 6 atoms:
Ta 0.000 0.000 0.000
Ta 0.167 0.833 0.500
Ta 0.833 0.167 0.500
Nb 0.342 0.658 0.000
Nb 0.658 0.342 0.000
Fe 0.500 0.500 0.500

Results
spin magnetization: 0.3 Bohr magnetons per cell
total DFT energy (no corrections): -10.70 eV/atom
symmetry: No. 65

---

Entry from the Alexandria database: a geometry-optimized PuNp2Os structure (GGA-PBE).

Cell: 7.540 7.540 7.540 Å, 25.84 25.84 25.84°
Fractional coordinates of all 4 atoms:
Pu 0.000 0.000 0.000
Np 0.260 0.260 0.260
Np 0.740 0.740 0.740
Os 0.500 0.500 0.500

Results
spin magnetization: 0.2 Bohr magnetons per cell
total DFT energy (no corrections): -12.41 eV/atom
symmetry: No. 166

---

Entry from the Alexandria database: a geometry-optimized SrAuBr4 structure (GGA-PBE).

Cell: 5.591 9.889 8.461 Å, 90.00 108.51 90.00°
Fractional coordinates of all 12 atoms:
Sr 0.063 0.250 0.116
Sr 0.937 0.750 0.884
Au 0.227 0.750 0.445
Au 0.773 0.250 0.555
Br 0.106 0.566 0.195
Br 0.106 0.934 0.195
Br 0.264 0.250 0.535
Br 0.378 0.750 0.761
Br 0.622 0.250 0.239
Br 0.736 0.750 0.465
Br 0.894 0.066 0.805
Br 0.894 0.434 0.805

Results
relative energy among the computed polymorphs: 4.13 kJ per mole of atoms
formation energy (no corrections): -1013 meV/atom
spin magnetization: 0.0 Bohr magnetons per cell
symmetry: No. 11

---

Entry from the Alexandria database: a geometry-optimized Pr2Sm4Er3 structure (GGA-PBE).

Cell: 3.624 3.624 26.759 Å, 90.00 90.00 120.00°
Fractional coordinates of all 9 atoms:
Pr 0.000 0.000 0.000
Pr 0.000 0.000 0.216
Sm 0.000 0.000 0.350
Sm 0.000 0.000 0.562
Sm 0.333 0.667 0.673
Sm 0.333 0.667 0.886
Er 0.000 0.000 0.779
Er 0.333 0.667 0.110
Er 0.333 0.667 0.454

Results
relative energy among the computed polymorphs: 0.00 kJ per mole of atoms
spin magnetization: 0.0 Bohr magnetons per cell
symmetry: No. 156

---

Entry from the Alexandria database: a geometry-optimized SiMo2H structure (GGA-PBE).

Cell: 6.353 6.353 6.353 Å, 31.68 31.68 31.68°
Fractional coordinates of all 4 atoms:
Si 0.000 0.000 0.000
Mo 0.403 0.403 0.403
Mo 0.597 0.597 0.597
H 0.500 0.500 0.500

Results
relative energy among the computed polymorphs: 48.01 kJ per mole of atoms
spin magnetization: 0.0 Bohr magnetons per cell
symmetry: No. 166

---

Entry from the Alexandria database: a geometry-optimized Mg2Be2As structure (GGA-PBE).

Cell: 6.250 6.250 6.250 Å, 144.36 144.36 51.29°
Fractional coordinates of all 5 atoms:
Mg 0.250 0.750 0.500
Mg 0.750 0.250 0.500
Be 0.089 0.089 0.000
Be 0.911 0.911 0.000
As 0.500 0.500 0.000

Results
relative energy among the computed polymorphs: 36.99 kJ per mole of atoms
spin magnetization: 0.0 Bohr magnetons per cell
symmetry: No. 139

---

Entry from the Alexandria database: a geometry-optimized TlInF3 structure (GGA-PBE).

Cell: 8.597 5.028 10.425 Å, 90.00 123.39 90.00°
Fractional coordinates of all 20 atoms:
Tl 0.055 0.201 0.152
Tl 0.055 0.299 0.652
Tl 0.945 0.701 0.348
Tl 0.945 0.799 0.848
In 0.456 0.199 0.571
In 0.456 0.301 0.071
In 0.544 0.699 0.929
In 0.544 0.801 0.429
F 0.163 0.109 0.482
F 0.163 0.391 0.982
F 0.316 0.512 0.376
F 0.316 0.988 0.876
F 0.406 0.012 0.198
F 0.406 0.488 0.698
F 0.594 0.512 0.302
F 0.594 0.988 0.802
F 0.684 0.012 0.124
F 0.684 0.488 0.624
F 0.837 0.609 0.018
F 0.837 0.891 0.518

Results
formation energy (no corrections): -2085 meV/atom
spin magnetization: 0.0 Bohr magnetons per cell
symmetry: No. 14

---

Entry from the Alexandria database: a geometry-optimized Ca3Cd2Au structure (GGA-PBE).

Cell: 8.464 8.464 7.485 Å, 90.00 90.00 143.21°
Fractional coordinates of all 12 atoms:
Ca 0.000 0.000 0.243
Ca 0.000 0.000 0.757
Ca 0.329 0.671 0.235
Ca 0.329 0.671 0.765
Ca 0.671 0.329 0.235
Ca 0.671 0.329 0.765
Cd 0.166 0.834 0.500
Cd 0.500 0.500 0.000
Cd 0.500 0.500 0.500
Cd 0.834 0.166 0.500
Au 0.159 0.841 0.000
Au 0.841 0.159 0.000

Results
relative energy among the computed polymorphs: 1.17 kJ per mole of atoms
spin magnetization: 0.0 Bohr magnetons per cell
symmetry: No. 65